Compound: CrHgIr2
Source: Alexandria
Functional: GGA-PBEsol
Structure: optimized geometry

Properties
DOS(E_F): 4.18 states/eV/f.u.
ΔH_f (0 K): 0.301 eV per atom

```
data_CrHgIr2
_cell_length_a 3.935
_cell_length_b 3.935
_cell_length_c 7.674
_cell_angle_alpha 90.00
_cell_angle_beta 90.00
_cell_angle_gamma 90.00
_space_group_name_H-M_alt 'I 4/m m m'
_space_group_IT_number 139
_space_group_name_Hall '-I 4 2'
loop_
_atom_site_label
_atom_site_type_symbol
_atom_site_fract_x
_atom_site_fract_y
_atom_site_fract_z
Cr1 Cr 0.000 0.000 0.000
Hg1 Hg 0.000 0.000 0.500
Ir1 Ir 0.000 0.500 0.250
```

***

Compound: GaGe
Source: Alexandria
Functional: GGA-PBEsol
Structure: optimized geometry

Properties
DOS(E_F): 1.22 states/eV/f.u.
ΔH_f (0 K): 0.185 eV per atom

```
data_GaGe
_cell_length_a 5.681
_cell_length_b 5.681
_cell_length_c 5.681
_cell_angle_alpha 90.00
_cell_angle_beta 90.00
_cell_angle_gamma 90.00
_space_group_name_H-M_alt 'F -4 3 m'
_space_group_IT_number 216
_space_group_name_Hall 'F -4 2 3'
loop_
_atom_site_label
_atom_site_type_symbol
_atom_site_fract_x
_atom_site_fract_y
_atom_site_fract_z
Ga1 Ga 0.000 0.000 0.000
Ge1 Ge 0.250 0.250 0.750
```

***

Compound: Ce2Si6Pd21
Source: Alexandria
Functional: GGA-PBEsol
Structure: optimized geometry

Properties
DOS(E_F): 13.86 states/eV/f.u.
Electronic total energy: -776.37 eV/cell

```
data_Ce2Si6Pd21
_cell_length_a 12.075
_cell_length_b 12.075
_cell_length_c 12.075
_cell_angle_alpha 90.00
_cell_angle_beta 90.00
_cell_angle_gamma 90.00
_space_group_name_H-M_alt 'F m -3 m'
_space_group_IT_number 225
_space_group_name_Hall '-F 4 2 3'
loop_
_atom_site_label
_atom_site_type_symbol
_atom_site_fract_x
_atom_site_fract_y
_atom_site_fract_z
Ce1 Ce 0.250 0.250 0.250
Si1 Si 0.000 0.000 0.237
Pd1 Pd 0.000 0.000 0.500
Pd2 Pd 0.000 0.173 0.327
Pd3 Pd 0.117 0.117 0.117
```

***

Compound: CrInRu2
Source: Alexandria
Functional: GGA-PBEsol
Structure: optimized geometry

Properties
DOS(E_F): 4.21 states/eV/f.u.
ΔH_f (0 K): 0.363 eV per atom

```
data_CrInRu2
_cell_length_a 3.055
_cell_length_b 3.055
_cell_length_c 6.239
_cell_angle_alpha 90.00
_cell_angle_beta 90.00
_cell_angle_gamma 90.00
_space_group_name_H-M_alt 'P 4 m m'
_space_group_IT_number 99
_space_group_name_Hall 'P 4 -2'
loop_
_atom_site_label
_atom_site_type_symbol
_atom_site_fract_x
_atom_site_fract_y
_atom_site_fract_z
Cr1 Cr 0.000 0.000 0.000
In1 In 0.500 0.500 0.292
Ru1 Ru 0.000 0.000 0.562
Ru2 Ru 0.500 0.500 0.827
```

***

Compound: CaCoRh2
Source: Alexandria
Functional: GGA-PBEsol
Structure: optimized geometry

Properties
DOS(E_F): 5.86 states/eV/f.u.
ΔH_f (0 K): 0.203 eV per atom

```
data_CaCoRh2
_cell_length_a 3.072
_cell_length_b 3.072
_cell_length_c 6.745
_cell_angle_alpha 90.00
_cell_angle_beta 90.00
_cell_angle_gamma 90.00
_space_group_name_H-M_alt 'P 4 m m'
_space_group_IT_number 99
_space_group_name_Hall 'P 4 -2'
loop_
_atom_site_label
_atom_site_type_symbol
_atom_site_fract_x
_atom_site_fract_y
_atom_site_fract_z
Ca1 Ca 0.000 0.000 0.000
Co1 Co 0.500 0.500 0.315
Rh1 Rh 0.000 0.000 0.472
Rh2 Rh 0.500 0.500 0.705
```

***

Compound: TaAl2W
Source: Alexandria
Functional: GGA-PBEsol
Structure: optimized geometry

Properties
DOS(E_F): 2.77 states/eV/f.u.
ΔH_f (0 K): 0.084 eV per atom

```
data_TaAl2W
_cell_length_a 2.740
_cell_length_b 2.740
_cell_length_c 8.558
_cell_angle_alpha 90.00
_cell_angle_beta 90.00
_cell_angle_gamma 90.00
_space_group_name_H-M_alt 'P 4 m m'
_space_group_IT_number 99
_space_group_name_Hall 'P 4 -2'
loop_
_atom_site_label
_atom_site_type_symbol
_atom_site_fract_x
_atom_site_fract_y
_atom_site_fract_z
Ta1 Ta 0.000 0.000 0.000
Al1 Al 0.000 0.000 0.504
Al2 Al 0.500 0.500 0.757
W1 W 0.500 0.500 0.270
```